Pm2InAs3Pt4: relaxed, PBE.

Cell: 4.296 4.296 10.945 Å, 90.00 90.00 90.00°
Positions (direct):
1 Pm 0.000 0.500 0.228
2 Pm 0.500 0.000 0.772
3 In 0.000 0.000 0.500
4 As 0.000 0.500 0.869
5 As 0.500 0.000 0.131
6 As 0.500 0.500 0.500
7 Pt 0.000 0.000 0.000
8 Pt 0.000 0.500 0.649
9 Pt 0.500 0.000 0.351
10 Pt 0.500 0.500 0.000

Calculated values
The formation energy comes out at -0.8280 eV/atom. The value obtained for the electronic total energy is -58.63 eV per cell.



PmInAsPt: relaxed, PBE.

Cell: 7.063 7.063 7.063 Å, 90.00 90.00 90.00°
Positions (direct):
1 Pm 0.000 0.000 0.000
2 Pm 0.000 0.500 0.500
3 Pm 0.500 0.000 0.500
4 Pm 0.500 0.500 0.000
5 In 0.000 0.000 0.500
6 In 0.000 0.500 0.000
7 In 0.500 0.000 0.000
8 In 0.500 0.500 0.500
9 As 0.250 0.250 0.250
10 As 0.250 0.750 0.750
11 As 0.750 0.250 0.750
12 As 0.750 0.750 0.250
13 Pt 0.250 0.250 0.750
14 Pt 0.250 0.750 0.250
15 Pt 0.750 0.250 0.250
16 Pt 0.750 0.750 0.750

Calculated values
The formation energy comes out at -0.6106 eV/atom. The value obtained for the electronic total energy is -82.49 eV per cell.



Fermi-level density of states across the listed records, respectively: 6.21, 15.77 states/eV/cell.